[1]
A relaxed structure of Ac2TmOsO6, computed with PBE.

Cell and atoms, written as CIF:
```
data_Ac2TmOsO6
_cell_length_a 6.0363
_cell_length_b 6.0363
_cell_length_c 13.6940
_cell_angle_alpha 90.00
_cell_angle_beta 90.00
_cell_angle_gamma 120.00
_symmetry_space_group_name_H-M 'R -3'
_symmetry_Int_Tables_number 148
_symmetry_space_group_name_Hall '-R 3'
loop_
_atom_site_label
_atom_site_type_symbol
_atom_site_fract_x
_atom_site_fract_y
_atom_site_fract_z
Ac1 Ac 0.0000 0.0000 0.2414
Tm1 Tm 0.0000 0.0000 0.5000
Os1 Os 0.0000 0.0000 0.0000
O1 O 0.0078 0.5858 0.7476
```

Output
- V: 14.410 Å³ per atom
- Formation energy (no corrections): -2671 meV per atom
- Total moment: 3.01 Bohr magnetons per cell
- Total energy: -8.037 eV/atom



[2]
A relaxed structure of Hg3Au, computed with PBE.

Cell and atoms, written as CIF:
```
data_Hg3Au
_cell_length_a 4.522
_cell_length_b 4.522
_cell_length_c 8.819
_cell_angle_alpha 90.00
_cell_angle_beta 90.00
_cell_angle_gamma 90.00
_symmetry_space_group_name_H-M 'I 4/m m m'
_symmetry_Int_Tables_number 139
_symmetry_space_group_name_Hall '-I 4 2'
loop_
_atom_site_label
_atom_site_type_symbol
_atom_site_fract_x
_atom_site_fract_y
_atom_site_fract_z
Hg1 Hg 0.000 0.000 0.000
Hg2 Hg 0.000 0.500 0.250
Au1 Au 0.000 0.000 0.500
```

Output
- V: 22.544 Å³ per atom
- Energy relative to the elements: 0.14 eV/atom
- Total moment: 0.00 Bohr magnetons per cell
- Total energy: -0.903 eV/atom
- Polymorph energy (0 for the lowest one): 0.486 eV per formula unit



[3]
A relaxed structure of TmHfMgTc, computed with PBE.

Cell and atoms, written as CIF:
```
data_TmHfMgTc
_cell_length_a 6.859
_cell_length_b 6.859
_cell_length_c 6.859
_cell_angle_alpha 90.00
_cell_angle_beta 90.00
_cell_angle_gamma 90.00
_symmetry_space_group_name_H-M 'F -4 3 m'
_symmetry_Int_Tables_number 216
_symmetry_space_group_name_Hall 'F -4 2 3'
loop_
_atom_site_label
_atom_site_type_symbol
_atom_site_fract_x
_atom_site_fract_y
_atom_site_fract_z
Tm1 Tm 0.000 0.000 0.000
Hf1 Hf 0.000 0.000 0.500
Mg1 Mg 0.250 0.250 0.750
Tc1 Tc 0.250 0.250 0.250
```

Output
- V: 20.168 Å³ per atom
- Energy relative to the elements: -0.08 eV/atom
- Total moment: 0.00 Bohr magnetons per cell
- Total energy: -6.672 eV/atom



[4]
A relaxed structure of Na2Sm2HfS6, computed with PBE.

Cell and atoms, written as CIF:
```
data_Na2Sm2HfS6
_cell_length_a 6.909
_cell_length_b 11.786
_cell_length_c 7.121
_cell_angle_alpha 90.00
_cell_angle_beta 108.48
_cell_angle_gamma 90.00
_symmetry_space_group_name_H-M 'C 1 2/m 1'
_symmetry_Int_Tables_number 12
_symmetry_space_group_name_Hall '-C 2y'
loop_
_atom_site_label
_atom_site_type_symbol
_atom_site_fract_x
_atom_site_fract_y
_atom_site_fract_z
Na1 Na 0.000 0.168 0.000
Sm1 Sm 0.000 0.334 0.500
Hf1 Hf 0.000 0.000 0.500
S1 S 0.226 0.156 0.720
S2 S 0.232 0.000 0.282
```

Output
- V: 24.995 Å³ per atom
- Formation energy (no corrections): -1736 meV per atom
- Total moment: 0.00 Bohr magnetons per cell
- Total energy: -5.990 eV/atom



[5]
A relaxed structure of Li2LaHo2Ga2, computed with PBE.

Cell and atoms, written as CIF:
```
data_Li2LaHo2Ga2
_cell_length_a 4.6883
_cell_length_b 4.6883
_cell_length_c 26.5142
_cell_angle_alpha 90.00
_cell_angle_beta 90.00
_cell_angle_gamma 120.00
_symmetry_space_group_name_H-M 'R -3 m'
_symmetry_Int_Tables_number 166
_symmetry_space_group_name_Hall '-R 3 2"'
loop_
_atom_site_label
_atom_site_type_symbol
_atom_site_fract_x
_atom_site_fract_y
_atom_site_fract_z
Li1 Li 0.0000 0.0000 0.0904
La1 La 0.0000 0.0000 0.5000
Ho1 Ho 0.0000 0.0000 0.3712
Ga1 Ga 0.0000 0.0000 0.2455
```

Output
- V: 24.033 Å³ per atom
- Energy relative to the elements: -0.29 eV/atom
- Total moment: 0.00 Bohr magnetons per cell
- Total energy: -3.717 eV/atom



[6]
A relaxed structure of Pm6Y8Al, computed with PBE.

Cell and atoms, written as CIF:
```
data_Pm6Y8Al
_cell_length_a 9.5804
_cell_length_b 9.5804
_cell_length_c 6.2077
_cell_angle_alpha 90.00
_cell_angle_beta 90.00
_cell_angle_gamma 120.00
_symmetry_space_group_name_H-M 'P -3'
_symmetry_Int_Tables_number 147
_symmetry_space_group_name_Hall '-P 3'
loop_
_atom_site_label
_atom_site_type_symbol
_atom_site_fract_x
_atom_site_fract_y
_atom_site_fract_z
Pm1 Pm 0.0908 0.4575 0.3029
Y1 Y 0.0393 0.2571 0.7943
Y2 Y 0.3333 0.6667 0.8074
Al1 Al 0.0000 0.0000 0.5000
```

Output
- V: 32.896 Å³ per atom
- Energy relative to the elements: 0.07 eV/atom
- Total moment: 0.00 Bohr magnetons per cell
- Total energy: -5.526 eV/atom



[7]
A relaxed structure of Pm4CdHg2, computed with PBE.

Cell and atoms, written as CIF:
```
data_Pm4CdHg2
_cell_length_a 7.536
_cell_length_b 7.536
_cell_length_c 7.554
_cell_angle_alpha 90.00
_cell_angle_beta 90.00
_cell_angle_gamma 90.00
_symmetry_space_group_name_H-M 'I 4/m m m'
_symmetry_Int_Tables_number 139
_symmetry_space_group_name_Hall '-I 4 2'
loop_
_atom_site_label
_atom_site_type_symbol
_atom_site_fract_x
_atom_site_fract_y
_atom_site_fract_z
Pm1 Pm 0.250 0.250 0.250
Cd1 Cd 0.000 0.000 0.000
Hg1 Hg 0.000 0.500 0.000
```

Output
- V: 30.648 Å³ per atom
- Energy relative to the elements: -0.27 eV/atom
- Total moment: 2.88 Bohr magnetons per cell
- Total energy: -3.206 eV/atom



[8]
A relaxed structure of Dy2PuPd, computed with PBE.

Cell and atoms, written as CIF:
```
data_Dy2PuPd
_cell_length_a 3.5003
_cell_length_b 3.5003
_cell_length_c 31.9925
_cell_angle_alpha 90.00
_cell_angle_beta 90.00
_cell_angle_gamma 120.00
_symmetry_space_group_name_H-M 'R -3 m'
_symmetry_Int_Tables_number 166
_symmetry_space_group_name_Hall '-R 3 2"'
loop_
_atom_site_label
_atom_site_type_symbol
_atom_site_fract_x
_atom_site_fract_y
_atom_site_fract_z
Dy1 Dy 0.0000 0.0000 0.1037
Pu1 Pu 0.0000 0.0000 0.0000
Pd1 Pd 0.0000 0.0000 0.5000
```

Output
- V: 28.289 Å³ per atom
- Energy relative to the elements: -0.01 eV/atom
- Total moment: 19.11 Bohr magnetons per cell
- Total energy: -7.189 eV/atom
- Polymorph energy (0 for the lowest one): 1.328 eV per formula unit



[9]
A relaxed structure of Pm3MgNi3, computed with PBE.

Cell and atoms, written as CIF:
```
data_Pm3MgNi3
_cell_length_a 8.729
_cell_length_b 10.270
_cell_length_c 6.857
_cell_angle_alpha 90.00
_cell_angle_beta 90.75
_cell_angle_gamma 90.00
_symmetry_space_group_name_H-M 'C 1 2/m 1'
_symmetry_Int_Tables_number 12
_symmetry_space_group_name_Hall '-C 2y'
loop_
_atom_site_label
_atom_site_type_symbol
_atom_site_fract_x
_atom_site_fract_y
_atom_site_fract_z
Pm1 Pm 0.000 0.168 0.000
Pm2 Pm 0.000 0.250 0.500
Pm3 Pm 0.153 0.500 0.858
Mg1 Mg 0.249 0.500 0.356
Ni1 Ni 0.066 0.000 0.328
Ni2 Ni 0.234 0.268 0.200
```

Output
- V: 21.950 Å³ per atom
- Energy relative to the elements: -0.18 eV/atom
- Total moment: 0.00 Bohr magnetons per cell
- Total energy: -4.925 eV/atom
- Polymorph energy (0 for the lowest one): 0.809 eV per formula unit



[10]
A relaxed structure of Pm2NpBi, computed with PBE.

Cell and atoms, written as CIF:
```
data_Pm2NpBi
_cell_length_a 3.4265
_cell_length_b 3.4265
_cell_length_c 36.8858
_cell_angle_alpha 90.00
_cell_angle_beta 90.00
_cell_angle_gamma 120.00
_symmetry_space_group_name_H-M 'R -3 m'
_symmetry_Int_Tables_number 166
_symmetry_space_group_name_Hall '-R 3 2"'
loop_
_atom_site_label
_atom_site_type_symbol
_atom_site_fract_x
_atom_site_fract_y
_atom_site_fract_z
Pm1 Pm 0.0000 0.0000 0.0901
Np1 Np 0.0000 0.0000 0.0000
Bi1 Bi 0.0000 0.0000 0.5000
```

Output
- V: 31.254 Å³ per atom
- Energy relative to the elements: 0.31 eV/atom
- Total moment: 14.64 Bohr magnetons per cell
- Total energy: -6.269 eV/atom
- Polymorph energy (0 for the lowest one): 1.492 eV per formula unit



[11]
A relaxed structure of UPRhS, computed with PBE.

Cell and atoms, written as CIF:
```
data_UPRhS
_cell_length_a 3.983
_cell_length_b 3.983
_cell_length_c 8.644
_cell_angle_alpha 90.00
_cell_angle_beta 90.00
_cell_angle_gamma 90.00
_symmetry_space_group_name_H-M 'P 4/n m m'
_symmetry_Int_Tables_number 129
loop_
_symmetry_equiv_pos_as_xyz
'x,y,z'
'-x,-y,-z'
'-y+1/2,x,z'
'y+1/2,-x,-z'
'-x+1/2,-y+1/2,z'
'x+1/2,y+1/2,-z'
'y,-x+1/2,z'
'-y,x+1/2,-z'
'x+1/2,-y,-z'
'-x+1/2,y,z'
'-y,-x,-z'
'y,x,z'
'-x,y+1/2,-z'
'x,-y+1/2,z'
'y+1/2,x+1/2,-z'
'-y+1/2,-x+1/2,z'
loop_
_atom_site_label
_atom_site_type_symbol
_atom_site_fract_x
_atom_site_fract_y
_atom_site_fract_z
U1 U 0.250 0.250 0.212
P1 P 0.250 0.250 0.665
Rh1 Rh 0.250 0.750 0.500
S1 S 0.250 0.750 0.000
```

Output
- V: 17.144 Å³ per atom
- Formation energy (no corrections): -946 meV per atom
- Total moment: 2.84 Bohr magnetons per cell
- Total energy: -7.990 eV/atom



[12]
A relaxed structure of ZnAuSe2, computed with PBE.

Cell and atoms, written as CIF:
```
data_ZnAuSe2
_cell_length_a 4.558
_cell_length_b 4.558
_cell_length_c 7.504
_cell_angle_alpha 90.00
_cell_angle_beta 90.00
_cell_angle_gamma 90.00
_symmetry_space_group_name_H-M 'I 4/m m m'
_symmetry_Int_Tables_number 139
_symmetry_space_group_name_Hall '-I 4 2'
loop_
_atom_site_label
_atom_site_type_symbol
_atom_site_fract_x
_atom_site_fract_y
_atom_site_fract_z
Zn1 Zn 0.000 0.000 0.000
Au1 Au 0.000 0.000 0.500
Se1 Se 0.000 0.500 0.250
```

Output
- V: 19.491 Å³ per atom
- Formation energy (no corrections): 330 meV per atom
- Total moment: 0.00 Bohr magnetons per cell
- Total energy: -2.550 eV/atom



[13]
A relaxed structure of Dy2TmAg, computed with PBE.

Cell and atoms, written as CIF:
```
data_Dy2TmAg
_cell_length_a 3.646
_cell_length_b 12.679
_cell_length_c 9.641
_cell_angle_alpha 90.00
_cell_angle_beta 90.00
_cell_angle_gamma 90.00
_symmetry_space_group_name_H-M 'C m c m'
_symmetry_Int_Tables_number 63
_symmetry_space_group_name_Hall '-C 2c 2'
loop_
_atom_site_label
_atom_site_type_symbol
_atom_site_fract_x
_atom_site_fract_y
_atom_site_fract_z
Dy1 Dy 0.000 0.131 0.052
Tm1 Tm 0.000 0.447 0.250
Ag1 Ag 0.000 0.249 0.750
```

Output
- V: 27.853 Å³ per atom
- Energy relative to the elements: -0.13 eV/atom
- Total moment: 0.00 Bohr magnetons per cell
- Total energy: -4.257 eV/atom
- Polymorph energy (0 for the lowest one): 0.031 eV per formula unit